[1]
The following is a DFT calculation (PBE-GGA) of a relaxed Ce8TlIr6 crystal.

Values from the calculation:
DFT formation energy: -581 meV/atom
density of states at the Fermi level: 1.83 states/eV/atom
symmetry: P-3
total DFT energy (no corrections): -111.72 eV/f.u.

extended XYZ file:
```
15
Lattice="10.2865 0.0000 0.0000 -5.1433 8.9084 0.0000 0.0000 0.0000 4.0436" Properties=species:S:1:pos:R:3 pbc="T T T"
Ce -3.1970 6.4968 1.0666
Ce 1.1154 2.8913 1.0666
Ce 3.0616 0.4797 2.9770
Ce 0.0000 5.9389 3.0526
Ce 5.1433 2.9695 0.9910
Ce 2.0816 8.4287 1.0666
Ce 4.0279 6.0171 2.9770
Ce 8.3403 2.4116 2.9770
Tl 0.0000 0.0000 0.0000
Ir -1.4503 4.2186 0.9773
Ir -0.7647 8.0551 0.9773
Ir 2.9283 3.3653 3.0663
Ir 2.2150 5.5431 0.9773
Ir 5.9079 0.8533 3.0663
Ir 6.5935 4.6898 3.0663
```

***

[2]
The following is a DFT calculation (PBE-GGA) of a relaxed CeTmIr2 crystal.

Values from the calculation:
DFT formation energy: -779 meV/atom
density of states at the Fermi level: 0.90 states/eV/atom
symmetry: P4/mmm
total DFT energy (no corrections): -31.25 eV/f.u.

extended XYZ file:
```
4
Lattice="4.8603 0.0000 0.0000 0.0000 4.8603 0.0000 0.0000 0.0000 3.4549" Properties=species:S:1:pos:R:3 pbc="T T T"
Ce 0.0000 0.0000 0.0000
Tm 2.4301 2.4301 0.0000
Ir 0.0000 2.4301 1.7275
Ir 2.4301 0.0000 1.7275
```

***

[3]
The following is a DFT calculation (PBE-GGA) of a relaxed CeTm3Ir4 crystal.

Values from the calculation:
DFT formation energy: -844 meV/atom
density of states at the Fermi level: 0.57 states/eV/atom
symmetry: Pmmm
total DFT energy (no corrections): -61.54 eV/f.u.

extended XYZ file:
```
8
Lattice="3.2800 0.0000 0.0000 0.0000 4.9245 0.0000 0.0000 0.0000 9.8435" Properties=species:S:1:pos:R:3 pbc="T T T"
Ce 0.0000 0.0000 0.0000
Tm 0.0000 0.0000 4.9218
Tm 0.0000 2.4622 2.5106
Tm 0.0000 2.4622 7.3330
Ir 1.6400 0.0000 2.4782
Ir 1.6400 0.0000 7.3653
Ir 1.6400 2.4622 0.0000
Ir 1.6400 2.4622 4.9218
```

***

[4]
The following is a DFT calculation (PBE-GGA) of a relaxed Ce2TmIr9 crystal.

Values from the calculation:
DFT formation energy: -580 meV/atom
density of states at the Fermi level: 0.91 states/eV/atom
symmetry: R-3m
total DFT energy (no corrections): -103.05 eV/f.u.

extended XYZ file:
```
12
Lattice="2.6496 1.5298 8.8726 -2.6496 1.5298 8.8726 0.0000 -3.0595 8.8726" Properties=species:S:1:pos:R:3 pbc="T T T"
Ce 0.0000 0.0000 3.6949
Ce 0.0000 0.0000 22.9230
Tm 0.0000 0.0000 0.0000
Ir -1.3273 -0.7663 11.0526
Ir 0.0000 0.0000 8.8584
Ir 0.0000 -1.5327 15.5653
Ir -1.3273 0.7663 15.5653
Ir 0.0000 0.0000 13.3090
Ir 1.3273 -0.7663 11.0526
Ir 0.0000 1.5327 11.0526
Ir 0.0000 0.0000 17.7595
Ir 1.3273 0.7663 15.5653
```

***

[5]
The following is a DFT calculation (PBE-GGA) of a relaxed CeTmIr crystal.

Values from the calculation:
DFT formation energy: -568 meV/atom
density of states at the Fermi level: 2.46 states/eV/atom
energy relative to the lowest polymorph listed for this composition: 0.056 eV/atom
symmetry: F-43m
total DFT energy (no corrections): -20.97 eV/f.u.

extended XYZ file:
```
3
Lattice="0.0000 3.4078 3.4078 3.4078 0.0000 3.4078 3.4078 3.4078 0.0000" Properties=species:S:1:pos:R:3 pbc="T T T"
Ce 0.0000 0.0000 0.0000
Tm 3.4078 3.4078 3.4078
Ir 1.7039 1.7039 1.7039
```

***

[6]
The following is a DFT calculation (PBE-GGA) of a relaxed CeTmIr2 crystal.

Values from the calculation:
DFT formation energy: -838 meV/atom
density of states at the Fermi level: 0.62 states/eV/atom
symmetry: Amm2
total DFT energy (no corrections): -31.48 eV/f.u.

extended XYZ file:
```
4
Lattice="4.2041 0.0000 0.0000 0.0000 1.9118 5.3087 0.0000 -1.9118 5.3087" Properties=species:S:1:pos:R:3 pbc="T T T"
Ce 0.0000 0.0000 0.0000
Tm 2.1020 0.0000 3.0196
Ir 0.0000 0.0000 7.8164
Ir 2.1020 0.0000 5.9078
```